Entry 1:
! Tb9Er4Mg11 | Alexandria | PBE-GGA | optimized geometry; values from VASP
&SYSTEM
  ibrav = 0, nat = 24, ntyp = 3
/
ATOMIC_SPECIES
Er 167.26 Er.upf
Mg 24.30 Mg.upf
Tb 158.93 Tb.upf
CELL_PARAMETERS angstrom
3.608 0.000 0.000
0.000 13.061 -4.843
0.000 0.679 13.914
ATOMIC_POSITIONS crystal
Er 0.500 0.419 0.251
Er 0.500 0.581 0.749
Er 0.500 0.251 0.419
Er 0.500 0.749 0.581
Mg 0.000 0.632 0.368
Mg 0.000 0.054 0.412
Mg 0.000 0.588 0.946
Mg 0.000 0.822 0.178
Mg 0.000 0.368 0.632
Mg 0.000 0.782 0.782
Mg 0.000 0.000 0.000
Mg 0.000 0.412 0.054
Mg 0.000 0.218 0.218
Mg 0.000 0.178 0.822
Mg 0.000 0.946 0.588
Tb 0.500 0.978 0.792
Tb 0.500 0.500 0.500
Tb 0.500 0.622 0.154
Tb 0.500 0.378 0.846
Tb 0.500 0.022 0.208
Tb 0.500 0.792 0.978
Tb 0.500 0.154 0.622
Tb 0.500 0.846 0.378
Tb 0.500 0.208 0.022
! Crystal system ... orthorhombic
! Raw total energy ... -78.09 eV for the cell shown
! Density of states at the Fermi level ... 29.2 states/eV/cell

---

Entry 2:
! SbOs2 | Alexandria | PBE-GGA | optimized geometry; values from VASP
&SYSTEM
  ibrav = 0, nat = 6, ntyp = 2
/
ATOMIC_SPECIES
Os 190.23 Os.upf
Sb 121.76 Sb.upf
CELL_PARAMETERS angstrom
2.034 -5.755 0.000
2.034 5.755 0.000
0.000 0.000 4.319
ATOMIC_POSITIONS crystal
Os 0.229 0.771 0.750
Os 0.433 0.567 0.250
Os 0.771 0.229 0.250
Os 0.567 0.433 0.750
Sb 0.897 0.103 0.750
Sb 0.103 0.897 0.250
! Raw formation energy ... 0.71 eV/atom
! Crystal system ... orthorhombic
! Density of states at the Fermi level ... 4.6 states/eV/cell

---

Entry 3:
! Ac3Pm2Dy7 | Alexandria | PBE-GGA | optimized geometry; values from VASP
&SYSTEM
  ibrav = 0, nat = 12, ntyp = 3
/
ATOMIC_SPECIES
Ac 227.00 Ac.upf
Dy 162.50 Dy.upf
Pm 145.00 Pm.upf
CELL_PARAMETERS angstrom
2.942 -19.462 0.000
2.942 19.462 0.000
0.000 0.000 3.723
ATOMIC_POSITIONS crystal
Ac 0.184 0.816 0.000
Ac 0.816 0.184 0.000
Ac 0.500 0.500 0.500
Dy 0.913 0.087 0.500
Dy 0.000 0.000 0.000
Dy 0.574 0.426 0.000
Dy 0.426 0.574 0.000
Dy 0.087 0.913 0.500
Dy 0.730 0.270 0.500
Dy 0.270 0.730 0.500
Pm 0.354 0.646 0.500
Pm 0.646 0.354 0.500
! Crystal system ... orthorhombic
! Raw total energy ... -52.37 eV for the cell shown
! Density of states at the Fermi level ... 20.0 states/eV/cell

---

Entry 4:
! Tc2PbSe | Alexandria | PBE-GGA | optimized geometry; values from VASP
&SYSTEM
  ibrav = 0, nat = 4, ntyp = 3
/
ATOMIC_SPECIES
Tc 98.00 Tc.upf
Pb 207.20 Pb.upf
Se 78.96 Se.upf
CELL_PARAMETERS angstrom
3.213 -0.002 0.000
-1.681 2.738 0.000
0.000 0.000 8.501
ATOMIC_POSITIONS crystal
Tc 0.000 0.000 0.971
Tc 0.000 0.000 0.529
Pb 0.500 0.500 0.250
Se 0.500 0.500 0.750
! Raw formation energy ... 0.74 eV/atom
! Crystal system ... orthorhombic
! Density of states at the Fermi level ... 4.1 states/eV/cell
! Energy above the lowest structure with this stoichiometry ... 0.584 eV/atom

---

Entry 5:
! ZnReSeN2 | Alexandria | PBE-GGA | optimized geometry; values from VASP
&SYSTEM
  ibrav = 0, nat = 5, ntyp = 4
/
ATOMIC_SPECIES
Se 78.96 Se.upf
N 14.01 N.upf
Zn 65.41 Zn.upf
Re 186.21 Re.upf
CELL_PARAMETERS angstrom
3.821 0.000 0.000
0.000 3.821 0.000
0.000 0.000 5.548
ATOMIC_POSITIONS crystal
Se 0.000 0.000 0.500
N 0.000 0.500 0.000
N 0.500 0.000 0.000
Zn 0.500 0.500 0.500
Re 0.000 0.000 0.000
! Raw formation energy ... 0.36 eV/atom
! Crystal system ... tetragonal
! Density of states at the Fermi level ... 3.1 states/eV/cell
! Energy above the lowest structure with this stoichiometry ... 0.000 eV/atom

---

Entry 6:
! Cr2CdRu | Alexandria | PBE-GGA | optimized geometry; values from VASP
&SYSTEM
  ibrav = 0, nat = 4, ntyp = 3
/
ATOMIC_SPECIES
Cr 52.00 Cr.upf
Ru 101.07 Ru.upf
Cd 112.41 Cd.upf
CELL_PARAMETERS angstrom
2.804 0.000 0.000
0.000 3.783 0.000
0.000 0.000 5.608
ATOMIC_POSITIONS crystal
Cr 0.000 0.000 0.060
Cr 0.000 0.000 0.440
Ru 0.500 0.500 0.250
Cd 0.500 0.500 0.750
! Crystal system ... orthorhombic
! Raw total energy ... -28.00 eV for the cell shown
! Density of states at the Fermi level ... 4.3 states/eV/cell

---

Entry 7:
! TmSc2In3Te6 | Alexandria | PBE-GGA | optimized geometry; values from VASP
&SYSTEM
  ibrav = 0, nat = 12, ntyp = 4
/
ATOMIC_SPECIES
Te 127.60 Te.upf
Sc 44.96 Sc.upf
In 114.82 In.upf
Tm 168.93 Tm.upf
CELL_PARAMETERS angstrom
-1.563 1.909 -6.986
0.215 -7.153 1.920
-7.373 2.000 3.507
ATOMIC_POSITIONS crystal
Te 0.273 0.273 0.791
Te 0.413 0.071 0.213
Te 0.929 0.587 0.787
Te 0.587 0.929 0.787
Te 0.727 0.727 0.209
Te 0.071 0.413 0.213
Sc 0.667 0.333 0.000
Sc 0.333 0.667 0.000
In 0.837 0.163 0.500
In 0.500 0.500 0.500
In 0.163 0.837 0.500
Tm 0.000 0.000 0.000
! Raw formation energy ... -0.88 eV/atom
! Crystal system ... monoclinic
! Density of states at the Fermi level ... 0.9 states/eV/cell

---

Entry 8:
! Sr4Mg2N | Alexandria | PBE-GGA | optimized geometry; values from VASP
&SYSTEM
  ibrav = 0, nat = 7, ntyp = 3
/
ATOMIC_SPECIES
N 14.01 N.upf
Mg 24.30 Mg.upf
Sr 87.62 Sr.upf
CELL_PARAMETERS angstrom
-1.893 4.252 -2.551
1.926 -1.886 -4.573
-7.586 -3.070 -5.010
ATOMIC_POSITIONS crystal
N 0.000 0.000 0.000
Mg 0.647 0.647 0.705
Mg 0.353 0.353 0.295
Sr 0.850 0.850 0.300
Sr 0.000 0.500 0.000
Sr 0.150 0.150 0.700
Sr 0.500 0.000 0.000
! Raw formation energy ... -0.13 eV/atom
! Crystal system ... tetragonal
! Density of states at the Fermi level ... 5.6 states/eV/cell

---

Entry 9:
! BaCa2La | Alexandria | PBE-GGA | optimized geometry; values from VASP
&SYSTEM
  ibrav = 0, nat = 4, ntyp = 3
/
ATOMIC_SPECIES
Ca 40.08 Ca.upf
La 138.91 La.upf
Ba 137.33 Ba.upf
CELL_PARAMETERS angstrom
-3.163 0.020 -2.390
-2.359 -0.657 3.117
-1.090 11.210 1.536
ATOMIC_POSITIONS crystal
Ca 0.500 0.500 0.256
Ca 0.000 0.000 0.019
La 0.000 0.000 0.483
Ba 0.500 0.500 0.743
! Crystal system ... tetragonal
! Density of states at the Fermi level ... 6.4 states/eV/cell
! Energy above the lowest structure with this stoichiometry ... 0.022 eV/atom

---

Entry 10:
! Cs2AgSb2 | Alexandria | PBE-GGA | optimized geometry; values from VASP
&SYSTEM
  ibrav = 0, nat = 10, ntyp = 3
/
ATOMIC_SPECIES
Ag 107.87 Ag.upf
Cs 132.91 Cs.upf
Sb 121.76 Sb.upf
CELL_PARAMETERS angstrom
-3.154 6.670 1.911
-2.189 -2.949 6.678
5.535 1.862 2.637
ATOMIC_POSITIONS crystal
Ag 0.000 0.000 0.000
Ag 0.500 0.500 0.000
Cs 0.671 0.829 0.500
Cs 0.329 0.171 0.500
Cs 0.171 0.671 0.500
Cs 0.829 0.329 0.500
Sb 0.362 0.862 0.000
Sb 0.138 0.362 0.000
Sb 0.638 0.138 0.000
Sb 0.862 0.638 0.000
! Raw formation energy ... -0.21 eV/atom
! Crystal system ... tetragonal
! Density of states at the Fermi level ... 5.6 states/eV/cell

---

Entry 11:
! BaLi2CeS4 | Alexandria | PBE-GGA | optimized geometry; values from VASP
&SYSTEM
  ibrav = 0, nat = 8, ntyp = 4
/
ATOMIC_SPECIES
S 32.06 S.upf
Ce 140.12 Ce.upf
Li 6.94 Li.upf
Ba 137.33 Ba.upf
CELL_PARAMETERS angstrom
-5.943 -3.488 -0.726
-3.365 -2.190 4.999
-5.744 2.746 0.756
ATOMIC_POSITIONS crystal
S 0.470 0.097 0.530
S 0.097 0.903 0.470
S 0.530 0.470 0.903
S 0.903 0.530 0.097
Ce 0.500 0.500 0.500
Li 0.750 0.750 0.750
Li 0.250 0.250 0.250
Ba 0.000 0.000 0.000
! Raw formation energy ... -1.58 eV/atom
! Crystal system ... tetragonal

---

Entry 12:
! HfBe2Ge | Alexandria | PBE-GGA | optimized geometry; values from VASP
&SYSTEM
  ibrav = 0, nat = 8, ntyp = 3
/
ATOMIC_SPECIES
Ge 72.64 Ge.upf
Hf 178.49 Hf.upf
Be 9.01 Be.upf
CELL_PARAMETERS angstrom
6.738 0.000 0.000
0.000 6.738 0.000
3.369 3.369 2.625
ATOMIC_POSITIONS crystal
Ge 0.500 0.500 0.000
Ge 0.250 0.750 0.500
Hf 0.750 0.250 0.500
Hf 0.000 0.000 0.000
Be 0.581 0.125 0.250
Be 0.375 0.419 0.750
Be 0.169 0.625 0.250
Be 0.875 0.831 0.750
! Crystal system ... tetragonal
! Raw total energy ... -42.59 eV for the cell shown
! Density of states at the Fermi level ... 2.0 states/eV/cell

---

What magnetization values result from the calculations? In sequence: 0.0, 0.0, 0.0, 0.0, 0.0, 0.0, 0.0, 0.0, 0.0, 0.0, 0.0, 0.0 Bohr magnetons per cell.